Below is a crystal of LaNbPt2 relaxed with PBEsol, with properties calculated at the meta-GGA SCAN level.

abc: 4.8127 4.8127 4.8127
angles: 60.00 60.00 60.00
Positions (direct):
Nb: 0.0000 0.0000 0.0000
Pt: 0.2500 0.2500 0.2500
Pt: 0.7500 0.7500 0.7500
La: 0.5000 0.5000 0.5000

Its crystal system is cubic. For the total energy, the calculation gives -54.660 eV/atom.